Entry 1:
# Li4Mn3WO8 SCAN PBEsol geometry
# Electronic total energy (eV per atom): -13.613
# Total magnetization (μB per atom): 0.9394
# DOS at the Fermi energy (states/eV/cell): 4.4
data_Li4Mn3WO8
_space_group_name_H-M_alt 'R -3 m'
_space_group_IT_number 166
_space_group_name_Hall '-R 3 2"'
_cell_length_a 6.0449
_cell_length_b 6.0449
_cell_length_c 14.3982
_cell_angle_alpha 90.00
_cell_angle_beta 90.00
_cell_angle_gamma 120.00
loop_
_atom_site_label
_atom_site_type_symbol
_atom_site_fract_x
_atom_site_fract_y
_atom_site_fract_z
Li1 Li 0.0000 0.0000 0.0000
Li2 Li 0.0000 0.5000 0.0000
Mn1 Mn 0.0000 0.5000 0.5000
W1 W 0.0000 0.0000 0.5000
O1 O 0.0000 0.0000 0.2362
O2 O 0.0259 0.5129 0.2475

Entry 2:
# YCo2Cl SCAN PBEsol geometry
# Electronic total energy (eV per atom): -17.399
# Total magnetization (μB per atom): 0.9520
# DOS at the Fermi energy (states/eV/cell): 2.6
data_YCo2Cl
_space_group_name_H-M_alt 'I -4 m 2'
_space_group_IT_number 119
_space_group_name_Hall 'I -4 -2'
_cell_length_a 4.411
_cell_length_b 4.411
_cell_length_c 6.580
_cell_angle_alpha 90.00
_cell_angle_beta 90.00
_cell_angle_gamma 90.00
loop_
_atom_site_label
_atom_site_type_symbol
_atom_site_fract_x
_atom_site_fract_y
_atom_site_fract_z
Y1 Y 0.000 0.000 0.000
Co1 Co 0.000 0.000 0.500
Co2 Co 0.000 0.500 0.750
Cl1 Cl 0.000 0.500 0.250

Entry 3:
# La5Hg3 SCAN PBEsol geometry
# Electronic total energy (eV per atom): -52.973
# Total magnetization (μB per atom): 0.0008
# DOS at the Fermi energy (states/eV/cell): 22.3
data_La5Hg3
_space_group_name_H-M_alt 'C m m m'
_space_group_IT_number 65
_space_group_name_Hall '-C 2 2'
_cell_length_a 7.698
_cell_length_b 10.836
_cell_length_c 5.557
_cell_angle_alpha 90.00
_cell_angle_beta 90.00
_cell_angle_gamma 90.00
loop_
_atom_site_label
_atom_site_type_symbol
_atom_site_fract_x
_atom_site_fract_y
_atom_site_fract_z
La1 La 0.000 0.000 0.000
La2 La 0.216 0.500 0.500
La3 La 0.250 0.250 0.000
Hg1 Hg 0.000 0.226 0.500
Hg2 Hg 0.000 0.500 0.000

Entry 4:
# IrSe2 SCAN PBEsol geometry
# Electronic total energy (eV per atom): -37.384
# Total magnetization (μB per atom): 0.0000
# DOS at the Fermi energy (states/eV/cell): 4.8
data_IrSe2
_space_group_name_H-M_alt 'P n n m'
_space_group_IT_number 58
_space_group_name_Hall '-P 2 2n'
_cell_length_a 5.058
_cell_length_b 5.948
_cell_length_c 3.822
_cell_angle_alpha 90.00
_cell_angle_beta 90.00
_cell_angle_gamma 90.00
loop_
_atom_site_label
_atom_site_type_symbol
_atom_site_fract_x
_atom_site_fract_y
_atom_site_fract_z
Ir1 Ir 0.000 0.000 0.000
Se1 Se 0.227 0.370 0.000

Entry 5:
# TeIrAu3 SCAN PBEsol geometry
# Electronic total energy (eV per atom): -62.101
# Total magnetization (μB per atom): 0.0012
# DOS at the Fermi energy (states/eV/cell): 5.5
data_TeIrAu3
_space_group_name_H-M_alt 'P m -3 m'
_space_group_IT_number 221
_space_group_name_Hall '-P 4 2 3'
_cell_length_a 4.931
_cell_length_b 4.931
_cell_length_c 4.931
_cell_angle_alpha 90.00
_cell_angle_beta 90.00
_cell_angle_gamma 90.00
loop_
_atom_site_label
_atom_site_type_symbol
_atom_site_fract_x
_atom_site_fract_y
_atom_site_fract_z
Te1 Te 0.000 0.000 0.000
Ir1 Ir 0.500 0.500 0.500
Au1 Au 0.000 0.500 0.500

Entry 6:
# GaFeS2 SCAN PBEsol geometry
# Electronic total energy (eV per atom): -13.676
# Total magnetization (μB per atom): 0.3708
# DOS at the Fermi energy (states/eV/cell): 9.4
data_GaFeS2
_space_group_name_H-M_alt 'R -3 m'
_space_group_IT_number 166
_space_group_name_Hall '-R 3 2"'
_cell_length_a 3.1865
_cell_length_b 3.1865
_cell_length_c 23.2113
_cell_angle_alpha 90.00
_cell_angle_beta 90.00
_cell_angle_gamma 120.00
loop_
_atom_site_label
_atom_site_type_symbol
_atom_site_fract_x
_atom_site_fract_y
_atom_site_fract_z
Ga1 Ga 0.0000 0.0000 0.0000
Fe1 Fe 0.0000 0.0000 0.5000
S1 S 0.0000 0.0000 0.1126

Entry 7:
# ScZnP2Cl SCAN PBEsol geometry
# Electronic total energy (eV per atom): -11.320
# Total magnetization (μB per atom): 0.0000
# DOS at the Fermi energy (states/eV/cell): 1.6
data_ScZnP2Cl
_space_group_name_H-M_alt 'P 4/m m m'
_space_group_IT_number 123
_space_group_name_Hall '-P 4 2'
_cell_length_a 4.495
_cell_length_b 4.495
_cell_length_c 4.876
_cell_angle_alpha 90.00
_cell_angle_beta 90.00
_cell_angle_gamma 90.00
loop_
_atom_site_label
_atom_site_type_symbol
_atom_site_fract_x
_atom_site_fract_y
_atom_site_fract_z
Sc1 Sc 0.000 0.000 0.000
Zn1 Zn 0.500 0.500 0.500
P1 P 0.000 0.500 0.500
Cl1 Cl 0.500 0.500 0.000

Entry 8:
# ZrSc2Tc SCAN PBEsol geometry
# Electronic total energy (eV per atom): -23.771
# Total magnetization (μB per atom): 0.0003
# DOS at the Fermi energy (states/eV/cell): 6.8
data_ZrSc2Tc
_space_group_name_H-M_alt 'I m m 2'
_space_group_IT_number 44
_space_group_name_Hall 'I 2 -2'
_cell_length_a 3.361
_cell_length_b 4.899
_cell_length_c 9.636
_cell_angle_alpha 90.00
_cell_angle_beta 90.00
_cell_angle_gamma 90.00
loop_
_atom_site_label
_atom_site_type_symbol
_atom_site_fract_x
_atom_site_fract_y
_atom_site_fract_z
Zr1 Zr 0.000 0.000 0.000
Sc1 Sc 0.000 0.000 0.580
Sc2 Sc 0.000 0.500 0.789
Tc1 Tc 0.000 0.500 0.298

Entry 9:
# CaNi2PbO SCAN PBEsol geometry
# Electronic total energy (eV per atom): -24.501
# Total magnetization (μB per atom): 0.0511
# DOS at the Fermi energy (states/eV/cell): 5.5
data_CaNi2PbO
_space_group_name_H-M_alt 'P 4/m m m'
_space_group_IT_number 123
_space_group_name_Hall '-P 4 2'
_cell_length_a 4.713
_cell_length_b 4.713
_cell_length_c 4.530
_cell_angle_alpha 90.00
_cell_angle_beta 90.00
_cell_angle_gamma 90.00
loop_
_atom_site_label
_atom_site_type_symbol
_atom_site_fract_x
_atom_site_fract_y
_atom_site_fract_z
Ca1 Ca 0.000 0.000 0.000
Ni1 Ni 0.000 0.500 0.500
Pb1 Pb 0.500 0.500 0.500
O1 O 0.500 0.500 0.000

Entry 10:
# Li2SiNiO4 SCAN PBEsol geometry
# Electronic total energy (eV per atom): -9.325
# Total magnetization (μB per atom): 0.2500
# DOS at the Fermi energy (states/eV/cell): 0.0
data_Li2SiNiO4
_space_group_name_H-M_alt 'P 1'
_space_group_IT_number 1
_space_group_name_Hall 'P 1'
_cell_length_a 5.049
_cell_length_b 5.405
_cell_length_c 12.208
_cell_angle_alpha 86.43
_cell_angle_beta 89.72
_cell_angle_gamma 86.77
loop_
_atom_site_label
_atom_site_type_symbol
_atom_site_fract_x
_atom_site_fract_y
_atom_site_fract_z
Li1 Li 0.000 0.000 0.000
Li2 Li 0.000 0.001 0.500
Li3 Li 0.104 0.483 0.361
Li4 Li 0.104 0.483 0.861
Li5 Li 0.518 0.151 0.121
Li6 Li 0.518 0.151 0.621
Li7 Li 0.617 0.640 0.233
Li8 Li 0.617 0.640 0.733
Si1 Si 0.130 0.493 0.112
Si2 Si 0.131 0.494 0.612
Si3 Si 0.491 0.140 0.371
Si4 Si 0.492 0.140 0.871
Ni1 Ni 0.008 0.976 0.247
Ni2 Ni 0.008 0.977 0.747
Ni3 Ni 0.620 0.652 0.975
Ni4 Ni 0.621 0.651 0.475
O1 O 0.000 0.627 0.218
O2 O 0.000 0.627 0.718
O3 O 0.004 0.626 0.997
O4 O 0.004 0.627 0.497
O5 O 0.095 0.191 0.123
O6 O 0.095 0.191 0.622
O7 O 0.166 0.125 0.368
O8 O 0.167 0.124 0.868
O9 O 0.454 0.520 0.108
O10 O 0.455 0.520 0.608
O11 O 0.534 0.439 0.363
O12 O 0.534 0.440 0.863
O13 O 0.614 0.013 0.487
O14 O 0.614 0.013 0.987
O15 O 0.619 0.999 0.265
O16 O 0.620 0.999 0.765

Entry 11:
# LaReSb SCAN PBEsol geometry
# Electronic total energy (eV per atom): -50.541
# Total magnetization (μB per atom): 0.0000
# DOS at the Fermi energy (states/eV/cell): 2.2
data_LaReSb
_space_group_name_H-M_alt 'P -6 m 2'
_space_group_IT_number 187
_space_group_name_Hall 'P -6 2'
_cell_length_a 4.6169
_cell_length_b 4.6169
_cell_length_c 3.8642
_cell_angle_alpha 90.00
_cell_angle_beta 90.00
_cell_angle_gamma 120.00
loop_
_atom_site_label
_atom_site_type_symbol
_atom_site_fract_x
_atom_site_fract_y
_atom_site_fract_z
La1 La 0.0000 0.0000 0.0000
Re1 Re 0.3333 0.6667 0.5000
Sb1 Sb 0.6667 0.3333 0.5000

Entry 12:
# SrRe2W SCAN PBEsol geometry
# Electronic total energy (eV per atom): -57.355
# Total magnetization (μB per atom): 0.0000
# DOS at the Fermi energy (states/eV/cell): 10.9
data_SrRe2W
_space_group_name_H-M_alt 'F -4 3 m'
_space_group_IT_number 216
_space_group_name_Hall 'F -4 2 3'
_cell_length_a 6.471
_cell_length_b 6.471
_cell_length_c 6.471
_cell_angle_alpha 90.00
_cell_angle_beta 90.00
_cell_angle_gamma 90.00
loop_
_atom_site_label
_atom_site_type_symbol
_atom_site_fract_x
_atom_site_fract_y
_atom_site_fract_z
Sr1 Sr 0.000 0.000 0.000
Re1 Re 0.000 0.000 0.500
Re2 Re 0.250 0.250 0.250
W1 W 0.250 0.250 0.750

Entry 13:
# KLi3Si12Sn2O30 SCAN PBEsol geometry
# Electronic total energy (eV per atom): -11.059
# Total magnetization (μB per atom): 0.0000
# DOS at the Fermi energy (states/eV/cell): 0.0
data_KLi3Si12Sn2O30
_space_group_name_H-M_alt 'P 6/m c c'
_space_group_IT_number 192
_space_group_name_Hall '-P 6 2c'
_cell_length_a 10.0991
_cell_length_b 10.0991
_cell_length_c 14.3054
_cell_angle_alpha 90.00
_cell_angle_beta 90.00
_cell_angle_gamma 120.00
loop_
_atom_site_label
_atom_site_type_symbol
_atom_site_fract_x
_atom_site_fract_y
_atom_site_fract_z
K1 K 0.0000 0.0000 0.2500
Li1 Li 0.0000 0.5000 0.2500
Si1 Si 0.1171 0.3551 0.1106
Sn1 Sn 0.3333 0.6667 0.2500
O1 O 0.0571 0.2791 0.3632
O2 O 0.1301 0.3941 0.0000
O3 O 0.1576 0.5037 0.1723

Entry 14:
# YAsBr2 SCAN PBEsol geometry
# Electronic total energy (eV per atom): -22.896
# Total magnetization (μB per atom): 0.0000
# DOS at the Fermi energy (states/eV/cell): 0.1
data_YAsBr2
_space_group_name_H-M_alt 'P 4 m m'
_space_group_IT_number 99
_space_group_name_Hall 'P 4 -2'
_cell_length_a 3.967
_cell_length_b 3.967
_cell_length_c 7.130
_cell_angle_alpha 90.00
_cell_angle_beta 90.00
_cell_angle_gamma 90.00
loop_
_atom_site_label
_atom_site_type_symbol
_atom_site_fract_x
_atom_site_fract_y
_atom_site_fract_z
Y1 Y 0.000 0.000 0.000
As1 As 0.500 0.500 0.073
Br1 Br 0.000 0.000 0.374
Br2 Br 0.500 0.500 0.721

Entry 15:
# TaCd4P SCAN PBEsol geometry
# Electronic total energy (eV per atom): -32.359
# Total magnetization (μB per atom): 0.4179
# DOS at the Fermi energy (states/eV/cell): 13.3
data_TaCd4P
_space_group_name_H-M_alt 'F -4 3 m'
_space_group_IT_number 216
_space_group_name_Hall 'F -4 2 3'
_cell_length_a 7.783
_cell_length_b 7.783
_cell_length_c 7.783
_cell_angle_alpha 90.00
_cell_angle_beta 90.00
_cell_angle_gamma 90.00
loop_
_atom_site_label
_atom_site_type_symbol
_atom_site_fract_x
_atom_site_fract_y
_atom_site_fract_z
Ta1 Ta 0.000 0.000 0.000
Cd1 Cd 0.125 0.125 0.375
P1 P 0.250 0.250 0.750

Entry 16:
# NiAg3B SCAN PBEsol geometry
# Electronic total energy (eV per atom): -22.809
# Total magnetization (μB per atom): 0.0006
# DOS at the Fermi energy (states/eV/cell): 3.5
data_NiAg3B
_space_group_name_H-M_alt 'P m -3 m'
_space_group_IT_number 221
_space_group_name_Hall '-P 4 2 3'
_cell_length_a 4.192
_cell_length_b 4.192
_cell_length_c 4.192
_cell_angle_alpha 90.00
_cell_angle_beta 90.00
_cell_angle_gamma 90.00
loop_
_atom_site_label
_atom_site_type_symbol
_atom_site_fract_x
_atom_site_fract_y
_atom_site_fract_z
Ni1 Ni 0.000 0.000 0.000
Ag1 Ag 0.000 0.500 0.500
B1 B 0.500 0.500 0.500

Entry 17:
# RbLiB2 SCAN PBEsol geometry
# Electronic total energy (eV per atom): -7.544
# Total magnetization (μB per atom): 0.0002
# DOS at the Fermi energy (states/eV/cell): 14.4
data_RbLiB2
_space_group_name_H-M_alt 'F m -3 m'
_space_group_IT_number 225
_space_group_name_Hall '-F 4 2 3'
_cell_length_a 6.649
_cell_length_b 6.649
_cell_length_c 6.649
_cell_angle_alpha 90.00
_cell_angle_beta 90.00
_cell_angle_gamma 90.00
loop_
_atom_site_label
_atom_site_type_symbol
_atom_site_fract_x
_atom_site_fract_y
_atom_site_fract_z
Rb1 Rb 0.000 0.000 0.000
Li1 Li 0.000 0.000 0.500
B1 B 0.250 0.250 0.250

Entry 18:
# Be2CuPt2 SCAN PBEsol geometry
# Electronic total energy (eV per atom): -33.541
# Total magnetization (μB per atom): 0.0000
# DOS at the Fermi energy (states/eV/cell): 2.7
data_Be2CuPt2
_space_group_name_H-M_alt 'P 4/m b m'
_space_group_IT_number 127
_space_group_name_Hall '-P 4 2ab'
_cell_length_a 6.493
_cell_length_b 6.493
_cell_length_c 2.729
_cell_angle_alpha 90.00
_cell_angle_beta 90.00
_cell_angle_gamma 90.00
loop_
_atom_site_label
_atom_site_type_symbol
_atom_site_fract_x
_atom_site_fract_y
_atom_site_fract_z
Be1 Be 0.130 0.370 0.000
Cu1 Cu 0.000 0.000 0.000
Pt1 Pt 0.165 0.665 0.500

Entry 19:
# Ga2PIBr SCAN PBEsol geometry
# Electronic total energy (eV per atom): -18.990
# Total magnetization (μB per atom): 0.4216
# DOS at the Fermi energy (states/eV/cell): 1.4
data_Ga2PIBr
_space_group_name_H-M_alt 'P 4/m m m'
_space_group_IT_number 123
_space_group_name_Hall '-P 4 2'
_cell_length_a 5.619
_cell_length_b 5.619
_cell_length_c 5.798
_cell_angle_alpha 90.00
_cell_angle_beta 90.00
_cell_angle_gamma 90.00
loop_
_atom_site_label
_atom_site_type_symbol
_atom_site_fract_x
_atom_site_fract_y
_atom_site_fract_z
Ga1 Ga 0.000 0.500 0.000
P1 P 0.000 0.000 0.500
I1 I 0.500 0.500 0.500
Br1 Br 0.500 0.500 0.000

Entry 20:
# AsPbAu SCAN PBEsol geometry
# Electronic total energy (eV per atom): -55.146
# Total magnetization (μB per atom): 0.0000
# DOS at the Fermi energy (states/eV/cell): 0.6
data_AsPbAu
_space_group_name_H-M_alt 'P 3 m 1'
_space_group_IT_number 156
_space_group_name_Hall 'P 3 -2"'
_cell_length_a 4.3414
_cell_length_b 4.3414
_cell_length_c 4.3070
_cell_angle_alpha 90.00
_cell_angle_beta 90.00
_cell_angle_gamma 120.00
loop_
_atom_site_label
_atom_site_type_symbol
_atom_site_fract_x
_atom_site_fract_y
_atom_site_fract_z
As1 As 0.0000 0.0000 0.0000
Pb1 Pb 0.6667 0.3333 0.5066
Au1 Au 0.3333 0.6667 0.0823